No. 1
# ErTlMo, optimized geometry, DFT PBE
data_ErTlMo
_chemical_formula_sum 'Er4 Tl4 Mo4'
_cell_length_a 6.936
_cell_length_b 6.936
_cell_length_c 6.936
_cell_angle_alpha 90.00
_cell_angle_beta 90.00
_cell_angle_gamma 90.00
_symmetry_space_group_name_H-M 'F -4 3 m'
_symmetry_Int_Tables_number 216
_symmetry_space_group_name_Hall 'F -4 2 3'
loop_
_atom_site_label
_atom_site_fract_x
_atom_site_fract_y
_atom_site_fract_z
Er1 0.000 0.000 0.000
Tl1 0.250 0.250 0.250
Mo1 0.250 0.250 0.750
# Energy above the most stable polymorph in this dataset ... 1.024 eV/f.u.

No. 2
A plane-wave DFT calculation with PBE was carried out for a relaxed structure of NaSmPb2.

```
data_NaSmPb2
_chemical_formula_sum 'Na1 Sm1 Pb2'
_cell_length_a 4.988
_cell_length_b 4.988
_cell_length_c 4.541
_cell_angle_alpha 90.00
_cell_angle_beta 90.00
_cell_angle_gamma 90.00
_symmetry_space_group_name_H-M 'P 4/m m m'
_symmetry_Int_Tables_number 123
_symmetry_space_group_name_Hall '-P 4 2'
loop_
_atom_site_label
_atom_site_fract_x
_atom_site_fract_y
_atom_site_fract_z
Na1 0.000 0.000 0.000
Sm1 0.500 0.500 0.000
Pb1 0.000 0.500 0.500
```

No. 3
# BaLuZnAu, optimized geometry, DFT PBE
data_BaLuZnAu
_chemical_formula_sum 'Ba4 Lu4 Zn4 Au4'
_cell_length_a 7.342
_cell_length_b 7.342
_cell_length_c 7.342
_cell_angle_alpha 90.00
_cell_angle_beta 90.00
_cell_angle_gamma 90.00
_symmetry_space_group_name_H-M 'F -4 3 m'
_symmetry_Int_Tables_number 216
_symmetry_space_group_name_Hall 'F -4 2 3'
loop_
_atom_site_label
_atom_site_fract_x
_atom_site_fract_y
_atom_site_fract_z
Ba1 0.000 0.000 0.000
Lu1 0.250 0.250 0.250
Zn1 0.000 0.000 0.500
Au1 0.250 0.250 0.750
# Energy above the most stable polymorph in this dataset ... 1.107 eV/f.u.

No. 4
A plane-wave DFT calculation with PBE was carried out for a relaxed structure of CsTlCo.

```
data_CsTlCo
_chemical_formula_sum 'Cs4 Tl4 Co4'
_cell_length_a 7.916
_cell_length_b 7.916
_cell_length_c 7.916
_cell_angle_alpha 90.00
_cell_angle_beta 90.00
_cell_angle_gamma 90.00
_symmetry_space_group_name_H-M 'F -4 3 m'
_symmetry_Int_Tables_number 216
_symmetry_space_group_name_Hall 'F -4 2 3'
loop_
_atom_site_label
_atom_site_fract_x
_atom_site_fract_y
_atom_site_fract_z
Cs1 0.000 0.000 0.000
Tl1 0.250 0.250 0.750
Co1 0.000 0.000 0.500
```

No. 5
A plane-wave DFT calculation with PBE was carried out for a relaxed structure of LaSmAg2Pb2.

```
data_LaSmAg2Pb2
_chemical_formula_sum 'La1 Sm1 Ag2 Pb2'
_cell_length_a 4.8931
_cell_length_b 4.8931
_cell_length_c 7.7248
_cell_angle_alpha 90.00
_cell_angle_beta 90.00
_cell_angle_gamma 120.00
_symmetry_space_group_name_H-M 'P 3 m 1'
_symmetry_Int_Tables_number 156
loop_
_symmetry_equiv_pos_as_xyz
'x,y,z'
'-y,x-y,z'
'-x+y,-x,z'
'-y,-x,z'
'-x+y,y,z'
'x,x-y,z'
loop_
_atom_site_label
_atom_site_fract_x
_atom_site_fract_y
_atom_site_fract_z
La1 0.0000 0.0000 0.0000
Sm1 0.0000 0.0000 0.5015
Ag1 0.3333 0.6667 0.2002
Ag2 0.6667 0.3333 0.6869
Pb1 0.3333 0.6667 0.7767
Pb2 0.6667 0.3333 0.2859
```

No. 6
A plane-wave DFT calculation with PBE was carried out for a relaxed structure of ErLuAg2Pb2.

```
data_ErLuAg2Pb2
_chemical_formula_sum 'Er1 Lu1 Ag2 Pb2'
_cell_length_a 4.7838
_cell_length_b 4.7838
_cell_length_c 7.4033
_cell_angle_alpha 90.00
_cell_angle_beta 90.00
_cell_angle_gamma 120.00
_symmetry_space_group_name_H-M 'P 3 m 1'
_symmetry_Int_Tables_number 156
loop_
_symmetry_equiv_pos_as_xyz
'x,y,z'
'-y,x-y,z'
'-x+y,-x,z'
'-y,-x,z'
'-x+y,y,z'
'x,x-y,z'
loop_
_atom_site_label
_atom_site_fract_x
_atom_site_fract_y
_atom_site_fract_z
Er1 0.0000 0.0000 0.0000
Lu1 0.0000 0.0000 0.5002
Ag1 0.3333 0.6667 0.6783
Ag2 0.6667 0.3333 0.1787
Pb1 0.3333 0.6667 0.2777
Pb2 0.6667 0.3333 0.7773
```

No. 7
A plane-wave DFT calculation with PBE was carried out for a relaxed structure of AgAsSe2.

```
data_AgAsSe2
_chemical_formula_sum 'Ag3 As3 Se6'
_cell_length_a 3.9090
_cell_length_b 3.9090
_cell_length_c 19.7568
_cell_angle_alpha 90.00
_cell_angle_beta 90.00
_cell_angle_gamma 120.00
_symmetry_space_group_name_H-M 'R -3 m'
_symmetry_Int_Tables_number 166
_symmetry_space_group_name_Hall '-R 3 2"'
loop_
_atom_site_label
_atom_site_fract_x
_atom_site_fract_y
_atom_site_fract_z
Ag1 0.0000 0.0000 0.0000
As1 0.0000 0.0000 0.5000
Se1 0.0000 0.0000 0.2454
```

No. 8
# ZrB4Pt, optimized geometry, DFT PBE
data_ZrB4Pt
_chemical_formula_sum 'Zr1 B4 Pt1'
_cell_length_a 3.1832
_cell_length_b 3.1832
_cell_length_c 6.7396
_cell_angle_alpha 90.00
_cell_angle_beta 90.00
_cell_angle_gamma 120.00
_symmetry_space_group_name_H-M 'P 6/m m m'
_symmetry_Int_Tables_number 191
_symmetry_space_group_name_Hall '-P 6 2'
loop_
_atom_site_label
_atom_site_fract_x
_atom_site_fract_y
_atom_site_fract_z
Zr1 0.0000 0.0000 0.0000
B1 0.3333 0.6667 0.2541
Pt1 0.0000 0.0000 0.5000
# Energy above the most stable polymorph in this dataset ... 0.166 eV/f.u.

no.,raw total energy (eV/atom),calculated volume (Å³/cell)
1,-4.782,333.7
2,-3.727,113.0
3,-2.779,395.7
4,-2.317,496.0
5,-4.263,160.2
6,-4.041,146.7
7,-3.694,261.4
8,-7.154,59.1